Entry 1:
The following is a PBE-GGA calculation of a geometry-optimized Ba4Ac3YTe8 structure, from Alexandria.

As for the uncorrected formation energy: -36.9 kcal/mol of atoms.

Cell: 9.5440 9.5440 23.9030 Å, 90.00 90.00 120.00°
Space group R-3m (No. 166, hexagonal axes)
Symmetry-distinct sites (fractional):
Ba1 0.0000 0.0000 0.0000 x3
Ba2 0.0000 0.5000 0.0000 x9
Ac1 0.0000 0.5000 0.5000 x9
Y1 0.0000 0.0000 0.5000 x3
Te1 0.0000 0.0000 0.2459 x6
Te2 0.0132 0.5066 0.2428 x18

=====

Entry 2:
The following is a PBE-GGA calculation of a geometry-optimized Ba3AcY2Te6 structure, from Alexandria.

As for the uncorrected formation energy: -35.9 kcal/mol of atoms.

Cell: 8.098 14.009 8.329 Å, 90.00 108.97 90.00°
Space group C2/m (No. 12)
Symmetry-distinct sites (fractional):
Ba1 0.000 0.000 0.000 x2
Ba2 0.000 0.339 0.000 x4
Ac1 0.000 0.500 0.500 x2
Y1 0.000 0.168 0.500 x4
Te1 0.223 0.000 0.718 x4
Te2 0.249 0.326 0.724 x8

=====

Entry 3:
The following is a PBE-GGA calculation of a geometry-optimized Ba3Ac2YTe6 structure, from Alexandria.

As for the uncorrected formation energy: -36.7 kcal/mol of atoms.

Cell: 8.240 14.253 8.401 Å, 90.00 109.13 90.00°
Space group C2/m (No. 12)
Symmetry-distinct sites (fractional):
Ba1 0.000 0.000 0.000 x2
Ba2 0.000 0.328 0.000 x4
Ac1 0.000 0.166 0.500 x4
Y1 0.000 0.500 0.500 x2
Te1 0.235 0.341 0.727 x8
Te2 0.240 0.500 0.268 x4

=====

Entry 4:
The following is a PBE-GGA calculation of a geometry-optimized Ba2AcZnTe5 structure, from Alexandria.

As for the uncorrected formation energy: -29.2 kcal/mol of atoms.

Cell: 4.734 19.819 14.717 Å, 90.00 90.00 90.00°
Space group Cmc2_1 (No. 36)
Symmetry-distinct sites (fractional):
Ba1 0.000 0.114 0.000 x4
Ba2 0.000 0.126 0.665 x4
Ac1 0.000 0.180 0.336 x4
Zn1 0.000 0.460 0.730 x4
Te1 0.000 0.013 0.320 x4
Te2 0.000 0.316 0.996 x4
Te3 0.000 0.326 0.673 x4
Te4 0.000 0.342 0.335 x4
Te5 0.000 0.486 0.064 x4

=====

Entry 5:
The following is a PBE-GGA calculation of a geometry-optimized BaAc2Th structure, from Alexandria.

The calculation puts the formation energy at 0.104 eV/atom.

Cell: 3.879 3.879 11.682 Å, 90.00 90.00 90.00°
Space group P4/mmm (No. 123)
Symmetry-distinct sites (fractional):
Ba1 0.000 0.000 0.000 x1
Ac1 0.500 0.500 0.285 x2
Th1 0.000 0.000 0.500 x1

=====

Entry 6:
The following is a PBE-GGA calculation of a geometry-optimized BaAc2Th structure, from Alexandria.

The calculation puts the formation energy at 0.393 eV/atom.

Cell: 3.7871 3.7871 42.3447 Å, 90.00 90.00 120.00°
Space group R-3m (No. 166, hexagonal axes)
Symmetry-distinct sites (fractional):
Ba1 0.0000 0.0000 0.0000 x3
Ac1 0.0000 0.0000 0.4171 x6
Th1 0.0000 0.0000 0.5000 x3

=====

Entry 7:
The following is a PBE-GGA calculation of a geometry-optimized BaAc2Tl2 structure, from Alexandria.

The calculation puts the formation energy at -0.201 eV/atom.

Cell: 3.916 25.726 3.954 Å, 90.00 90.00 90.00°
Space group Cmmm (No. 65)
Symmetry-distinct sites (fractional):
Ba1 0.000 0.000 0.000 x2
Ac1 0.000 0.181 0.000 x4
Tl1 0.000 0.403 0.500 x4

=====

Entry 8:
The following is a PBE-GGA calculation of a geometry-optimized Ba2AcTl structure, from Alexandria.

The calculation puts the formation energy at -0.119 eV/atom.

Cell: 4.154 4.154 10.675 Å, 90.00 90.00 90.00°
Space group P4/mmm (No. 123)
Symmetry-distinct sites (fractional):
Ba1 0.000 0.000 0.205 x2
Ac1 0.500 0.500 0.500 x1
Tl1 0.500 0.500 0.000 x1

=====

no.,volume (Å³ per cell)
1,1885.6
2,893.6
3,932.2
4,1380.8
5,175.8
6,526.0
7,398.3
8,184.2